[1]
# YMgCuTe2S, relaxed, DFT PBE
# E	-55.06	eV/cell
data_YMgCuTe2S
_cell_length_a 7.068
_cell_length_b 7.068
_cell_length_c 10.447
_cell_angle_alpha 90.00
_cell_angle_beta 90.00
_cell_angle_gamma 146.96
_space_group_name_H-M_alt 'P 1'
_space_group_IT_number 1
loop_
_space_group_symop_operation_xyz
'x,y,z'
loop_
_atom_site_label
_atom_site_type_symbol
_atom_site_fract_x
_atom_site_fract_y
_atom_site_fract_z
Cu1 Cu 0.514 0.486 0.250
Cu2 Cu 0.486 0.514 0.750
Mg1 Mg 0.280 0.720 0.250
Mg2 Mg 0.720 0.280 0.750
S1 S 0.915 0.085 0.250
S2 S 0.085 0.915 0.750
Te1 Te 0.656 0.344 0.077
Te2 Te 0.656 0.344 0.423
Te3 Te 0.344 0.656 0.577
Te4 Te 0.344 0.656 0.923
Y1 Y 0.000 0.000 0.000
Y2 Y 0.000 0.000 0.500

=====

[2]
# TmMgCuS3, relaxed, DFT PBE
# E above lowest polymorph	8	meV/atom
data_TmMgCuS3
_cell_length_a 10.191
_cell_length_b 6.307
_cell_length_c 6.307
_cell_angle_alpha 33.87
_cell_angle_beta 90.00
_cell_angle_gamma 90.00
_space_group_name_H-M_alt 'P 1'
_space_group_IT_number 1
loop_
_space_group_symop_operation_xyz
'x,y,z'
loop_
_atom_site_label
_atom_site_type_symbol
_atom_site_fract_x
_atom_site_fract_y
_atom_site_fract_z
Cu1 Cu 0.000 0.480 0.480
Cu2 Cu 0.500 0.520 0.520
Mg1 Mg 0.500 0.236 0.236
Mg2 Mg 0.000 0.764 0.764
S1 S 0.000 0.101 0.101
S2 S 0.169 0.354 0.354
S3 S 0.831 0.354 0.354
S4 S 0.331 0.646 0.646
S5 S 0.669 0.646 0.646
S6 S 0.500 0.899 0.899
Tm1 Tm 0.250 0.000 0.000
Tm2 Tm 0.750 0.000 0.000

=====

[3]
# TmMgCuS3, relaxed, DFT PBE
# E above lowest polymorph	0	meV/atom
data_TmMgCuS3
_cell_length_a 7.299
_cell_length_b 3.674
_cell_length_c 8.716
_cell_angle_alpha 90.00
_cell_angle_beta 100.60
_cell_angle_gamma 90.00
_space_group_name_H-M_alt 'P 1'
_space_group_IT_number 1
loop_
_space_group_symop_operation_xyz
'x,y,z'
loop_
_atom_site_label
_atom_site_type_symbol
_atom_site_fract_x
_atom_site_fract_y
_atom_site_fract_z
Cu1 Cu 0.412 0.750 0.418
Cu2 Cu 0.588 0.250 0.582
Mg1 Mg 0.706 0.250 0.274
Mg2 Mg 0.294 0.750 0.726
S1 S 0.906 0.750 0.152
S2 S 0.441 0.750 0.160
S3 S 0.242 0.250 0.488
S4 S 0.758 0.750 0.512
S5 S 0.559 0.250 0.840
S6 S 0.094 0.250 0.848
Tm1 Tm 0.181 0.250 0.173
Tm2 Tm 0.819 0.750 0.827